RbAlH4: PBEsol geometry, SCAN.

- Mass density: 2.44 g/cm3
- DFT total energy: -43.7 eV per formula unit
- SG: No. 36

Lattice parameters (Å, degrees): 3.746 6.107 7.176 90.00 105.13 90.00
Atoms (fractional coordinates):
1 H 0.165 0.893 0.329
2 H 0.605 0.664 0.211
3 H 0.200 0.458 0.401
4 Al 0.118 0.650 0.235
5 Rb 0.618 0.175 0.237
6 H 0.835 0.393 0.671
7 Al 0.882 0.150 0.765
8 H 0.395 0.164 0.789
9 H 0.013 0.515 0.026
10 H 0.800 0.958 0.599
11 Rb 0.382 0.675 0.763
12 H 0.987 0.015 0.974



BaY2Tl: PBEsol geometry, SCAN.

- Mass density: 6.74 g/cm3
- ΔE to the lowest computed polymorph: 37 kJ/mol of formula units
- DFT total energy: -167.5 eV per formula unit
- Energy of formation: 0.1 eV per formula unit
- SG: No. 216

Lattice parameters (Å, degrees): 5.658 5.658 5.658 60.00 60.00 60.00
Atoms (fractional coordinates):
1 Y 0.000 0.000 0.000
2 Tl 0.250 0.250 0.250
3 Y 0.750 0.750 0.750
4 Ba 0.500 0.500 0.500



KGa2Pb2: PBEsol geometry, SCAN.

- Mass density: 6.72 g/cm3
- DFT total energy: -193.4 eV per formula unit
- Energy of formation: -0.8 eV per formula unit
- SG: No. 139

Lattice parameters (Å, degrees): 4.148 4.148 9.011 103.31 103.31 90.00
Atoms (fractional coordinates):
1 Ga 0.750 0.250 0.500
2 Pb 0.633 0.633 0.266
3 K 0.000 0.000 0.000
4 Pb 0.367 0.367 0.734
5 Ga 0.250 0.750 0.500



Tl2SbP: PBEsol geometry, SCAN.

- Mass density: 9.32 g/cm3
- ΔE to the lowest computed polymorph: 88 kJ/mol of formula units
- DFT total energy: -191.1 eV per formula unit
- Formation energy without anion corrections: 328 meV per atom
- SG: No. 10

Lattice parameters (Å, degrees): 3.023 5.726 5.780 90.00 90.34 90.00
Atoms (fractional coordinates):
1 P 0.500 0.500 0.000
2 Tl 0.766 0.000 0.242
3 Sb 0.500 0.500 0.500
4 Tl 0.234 0.000 0.758



K2BP2O8: PBEsol geometry, SCAN.

- Mass density: 2.42 g/cm3
- DFT total energy: -125.8 eV per formula unit
- Formation energy without anion corrections: -2389 meV per atom
- SG: No. 122

Lattice parameters (Å, degrees): 7.232 7.232 8.936 113.87 113.87 90.00
Atoms (fractional coordinates):
1 P 0.625 0.012 0.750
2 O 0.428 0.273 0.339
3 O 0.061 0.887 0.110
4 O 0.189 0.527 0.390
5 O 0.727 0.089 0.661
6 O 0.339 0.477 0.161
7 K 0.495 0.875 0.250
8 O 0.822 0.684 0.161
9 P 0.125 0.738 0.750
10 O 0.523 0.178 0.839
11 P 0.262 0.375 0.250
12 O 0.934 0.572 0.661
13 K 0.755 0.375 0.250
14 O 0.316 0.661 0.839
15 O 0.777 0.939 0.890
16 P 0.988 0.875 0.250
17 O 0.113 0.951 0.890
18 O 0.137 0.811 0.610
19 O 0.473 0.799 0.610
20 K 0.125 0.245 0.750
21 K 0.625 0.505 0.750
22 O 0.201 0.863 0.390
23 O 0.911 0.066 0.339
24 O 0.049 0.223 0.110
25 B 0.250 0.750 0.500
26 B 0.000 0.000 0.000



KMo2Au: PBEsol geometry, SCAN.

- Mass density: 9.72 g/cm3
- ΔE to the lowest computed polymorph: 163 kJ/mol of formula units
- DFT total energy: -143.0 eV per formula unit
- Energy of formation: 4.2 eV per formula unit
- SG: No. 12

Lattice parameters (Å, degrees): 2.612 5.295 6.025 113.79 98.26 99.56
Atoms (fractional coordinates):
1 K 0.000 0.500 0.000
2 Mo 0.000 0.000 0.500
3 Mo 0.500 0.500 0.500
4 Au 0.500 0.000 0.000



KBa2Se: PBEsol geometry, SCAN.

- Mass density: 3.01 g/cm3
- DFT total energy: -111.3 eV per formula unit
- Formation energy without anion corrections: -947 meV per atom
- SG: No. 38

Lattice parameters (Å, degrees): 4.627 6.377 8.000 113.49 90.00 90.00
Atoms (fractional coordinates):
1 K 0.000 0.596 0.192
2 Ba 0.000 0.905 0.810
3 Se 0.500 0.760 0.520
4 Ba 0.500 0.236 0.473



Al2TlHg: PBEsol geometry, SCAN.

- Mass density: 8.96 g/cm3
- DFT total energy: -154.9 eV per formula unit
- Energy of formation: 1.1 eV per formula unit
- SG: No. 139

Lattice parameters (Å, degrees): 4.390 4.390 5.397 114.00 114.00 90.00
Atoms (fractional coordinates):
1 Al 0.250 0.750 0.500
2 Tl 0.000 0.000 0.000
3 Al 0.750 0.250 0.500
4 Hg 0.500 0.500 0.000



ZrW: PBEsol geometry, SCAN.

- Mass density: 12.44 g/cm3
- DFT total energy: -100.1 eV per formula unit
- Energy of formation: 0.3 eV per formula unit
- SG: No. 67

Lattice parameters (Å, degrees): 2.864 2.864 9.664 90.00 90.00 112.18
Atoms (fractional coordinates):
1 Zr 0.750 0.250 0.353
2 W 0.750 0.250 0.893
3 W 0.250 0.750 0.107
4 Zr 0.250 0.750 0.647



Cd2InTe: PBEsol geometry, SCAN.

- Mass density: 7.43 g/cm3
- ΔE to the lowest computed polymorph: 0 kJ/mol of formula units
- DFT total energy: -131.3 eV per formula unit
- Formation energy without anion corrections: 46 meV per atom
- SG: No. 65

Lattice parameters (Å, degrees): 2.965 6.933 6.430 116.15 90.03 115.27
Atoms (fractional coordinates):
1 Cd 0.500 0.500 0.500
2 Te 0.500 0.500 0.000
3 In 0.000 0.000 0.000
4 Cd 0.000 0.000 0.500



Te2MoBr: PBEsol geometry, SCAN.

- Mass density: 6.64 g/cm3
- ΔE to the lowest computed polymorph: 0 kJ/mol of formula units
- DFT total energy: -128.9 eV per formula unit
- Formation energy without anion corrections: -20 meV per atom
- SG: No. 8

Lattice parameters (Å, degrees): 3.395 5.286 6.819 70.34 75.59 71.27
Atoms (fractional coordinates):
1 Mo 0.223 0.411 0.142
2 Te 0.751 0.672 0.826
3 Br 0.576 0.401 0.446
4 Te 0.949 0.016 0.086



PdPbNO2: PBEsol geometry, SCAN.

- Mass density: 7.93 g/cm3
- DFT total energy: -125.7 eV per formula unit
- Formation energy without anion corrections: 919 meV per atom
- SG: No. 123

Lattice parameters (Å, degrees): 4.194 4.194 4.281 90.00 90.00 90.00
Atoms (fractional coordinates):
1 N 0.000 0.000 0.500
2 Pd 0.500 0.500 0.500
3 Pb 0.000 0.000 0.000
4 O 0.500 0.000 0.000
5 O 0.000 0.500 0.000



BaZr2Co: PBEsol geometry, SCAN.

- Mass density: 7.69 g/cm3
- ΔE to the lowest computed polymorph: 8 kJ/mol of formula units
- DFT total energy: -114.8 eV per formula unit
- Energy of formation: 3.5 eV per formula unit
- SG: No. 123

Lattice parameters (Å, degrees): 3.312 4.969 4.969 90.00 90.00 90.00
Atoms (fractional coordinates):
1 Co 0.500 0.000 0.000
2 Zr 0.000 0.500 0.000
3 Ba 0.500 0.500 0.500
4 Zr 0.000 0.000 0.500



CaNi2Hg: PBEsol geometry, SCAN.

- Mass density: 8.60 g/cm3
- ΔE to the lowest computed polymorph: 0 kJ/mol of formula units
- DFT total energy: -110.2 eV per formula unit
- Energy of formation: 0.0 eV per formula unit
- SG: No. 38

Lattice parameters (Å, degrees): 3.822 3.806 5.124 90.00 111.90 90.00
Atoms (fractional coordinates):
1 Ca 0.095 0.000 0.190
2 Hg 0.393 0.500 0.785
3 Ni 0.814 0.000 0.629
4 Ni 0.683 0.500 0.365



Sr3Se: PBEsol geometry, SCAN.

- Mass density: 3.76 g/cm3
- DFT total energy: -88.7 eV per formula unit
- Formation energy without anion corrections: -446 meV per atom
- SG: No. 166

Lattice parameters (Å, degrees): 4.018 6.722 6.722 116.13 101.49 101.49
Atoms (fractional coordinates):
1 Sr 0.500 0.500 0.000
2 Sr 0.000 0.500 0.500
3 Sr 0.500 0.000 0.500
4 Se 0.000 0.000 0.000



LiTl2Ni: PBEsol geometry, SCAN.

- Mass density: 11.01 g/cm3
- DFT total energy: -163.2 eV per formula unit
- Energy of formation: 0.1 eV per formula unit
- SG: No. 123

Lattice parameters (Å, degrees): 3.266 3.266 6.704 90.00 90.00 90.00
Atoms (fractional coordinates):
1 Li 0.500 0.500 0.000
2 Tl 0.000 0.000 0.732
3 Ni 0.500 0.500 0.500
4 Tl 0.000 0.000 0.268



In2SiPt: PBEsol geometry, SCAN.

- Mass density: 9.60 g/cm3
- DFT total energy: -147.5 eV per formula unit
- Formation energy without anion corrections: -129 meV per atom
- SG: No. 99

Lattice parameters (Å, degrees): 3.119 3.119 8.048 90.00 90.00 90.00
Atoms (fractional coordinates):
1 Si 0.500 0.500 0.693
2 In 0.000 0.000 0.968
3 Pt 0.000 0.000 0.547
4 In 0.500 0.500 0.292



GaSnF3: PBEsol geometry, SCAN.

- Mass density: 4.23 g/cm3
- DFT total energy: -71.5 eV per formula unit
- Formation energy without anion corrections: -1732 meV per atom
- SG: No. 221

Lattice parameters (Å, degrees): 4.583 4.583 4.583 90.00 90.00 90.00
Atoms (fractional coordinates):
1 F 0.000 0.500 0.000
2 Sn 0.000 0.000 0.000
3 F 0.000 0.000 0.500
4 Ga 0.500 0.500 0.500
5 F 0.500 0.000 0.000



Co3Ir: PBEsol geometry, SCAN.

- Mass density: 13.62 g/cm3
- DFT total energy: -122.8 eV per formula unit
- Energy of formation: 0.3 eV per formula unit
- SG: No. 47

Lattice parameters (Å, degrees): 2.560 3.491 5.035 90.00 90.00 90.00
Atoms (fractional coordinates):
1 Co 0.500 0.500 0.500
2 Co 0.000 0.000 0.739
3 Ir 0.500 0.500 0.000
4 Co 0.000 0.000 0.261



Be2Sb2Pb: PBEsol geometry, SCAN.

- Mass density: 7.24 g/cm3
- DFT total energy: -157.8 eV per formula unit
- Formation energy without anion corrections: 241 meV per atom
- SG: No. 139

Lattice parameters (Å, degrees): 3.823 3.823 7.839 104.11 104.11 90.00
Atoms (fractional coordinates):
1 Be 0.750 0.250 0.500
2 Sb 0.360 0.360 0.721
3 Be 0.250 0.750 0.500
4 Pb 0.000 0.000 0.000
5 Sb 0.640 0.640 0.279



EuTe2Pb: PBEsol geometry, SCAN.

- Mass density: 7.64 g/cm3
- DFT total energy: -208.5 eV per formula unit
- Formation energy without anion corrections: -1115 meV per atom
- SG: No. 123

Lattice parameters (Å, degrees): 4.547 4.547 6.456 90.00 90.00 90.00
Atoms (fractional coordinates):
1 Eu 0.000 0.000 0.000
2 Te 0.000 0.000 0.500
3 Pb 0.500 0.500 0.500
4 Te 0.500 0.500 0.000



Sm3Ir: PBEsol geometry, SCAN.

- Mass density: 9.83 g/cm3
- DFT total energy: -206.9 eV per formula unit
- Energy of formation: -2.5 eV per formula unit
- SG: No. 62

Lattice parameters (Å, degrees): 6.341 7.205 9.513 90.00 90.00 90.00
Atoms (fractional coordinates):
1 Sm 0.637 0.466 0.750
2 Ir 0.559 0.881 0.250
3 Sm 0.170 0.324 0.937
4 Ir 0.441 0.119 0.750
5 Ir 0.059 0.619 0.750
6 Sm 0.830 0.676 0.437
7 Sm 0.170 0.324 0.563
8 Sm 0.363 0.534 0.250
9 Sm 0.863 0.966 0.750
10 Sm 0.330 0.824 0.563
11 Sm 0.670 0.176 0.063
12 Sm 0.330 0.824 0.937
13 Sm 0.670 0.176 0.437
14 Sm 0.137 0.034 0.250
15 Sm 0.830 0.676 0.063
16 Ir 0.941 0.381 0.250



TcRhCl4: PBEsol geometry, SCAN.

- Mass density: 4.86 g/cm3
- DFT total energy: -93.2 eV per formula unit
- Formation energy without anion corrections: 1254 meV per atom
- SG: No. 216

Lattice parameters (Å, degrees): 5.491 5.491 5.491 60.00 60.00 60.00
Atoms (fractional coordinates):
1 Cl 0.875 0.375 0.375
2 Rh 0.750 0.750 0.750
3 Cl 0.375 0.375 0.375
4 Tc 0.000 0.000 0.000
5 Cl 0.375 0.375 0.875
6 Cl 0.375 0.875 0.375



MnFeSiO4: PBEsol geometry, SCAN.

- Mass density: 4.38 g/cm3
- DFT total energy: -87.0 eV per formula unit
- Formation energy without anion corrections: -2241 meV per atom
- SG: No. 62

Lattice parameters (Å, degrees): 4.881 6.135 10.271 90.00 90.00 90.00
Atoms (fractional coordinates):
1 O 0.708 0.964 0.828
2 Si 0.566 0.750 0.898
3 Mn 0.000 0.500 0.000
4 O 0.797 0.750 0.547
5 Fe 0.988 0.250 0.279
6 Mn 0.000 0.000 0.000
7 O 0.703 0.750 0.047
8 Mn 0.500 0.500 0.500
9 O 0.292 0.036 0.172
10 O 0.792 0.536 0.328
11 Mn 0.500 0.000 0.500
12 O 0.208 0.036 0.672
13 O 0.768 0.250 0.097
14 O 0.268 0.750 0.403
15 Si 0.066 0.250 0.602
16 Si 0.434 0.250 0.102
17 O 0.732 0.250 0.597
18 O 0.292 0.464 0.172
19 Fe 0.512 0.250 0.779
20 O 0.208 0.464 0.672
21 O 0.792 0.964 0.328
22 Si 0.934 0.750 0.398
23 O 0.708 0.536 0.828
24 Fe 0.012 0.750 0.721
25 O 0.203 0.250 0.453
26 O 0.297 0.250 0.953
27 O 0.232 0.750 0.903
28 Fe 0.488 0.750 0.221



NaAg2Sb2: PBEsol geometry, SCAN.

- Mass density: 6.45 g/cm3
- DFT total energy: -142.2 eV per formula unit
- Formation energy without anion corrections: -154 meV per atom
- SG: No. 139

Lattice parameters (Å, degrees): 4.572 4.572 6.762 109.76 109.76 90.00
Atoms (fractional coordinates):
1 Na 0.000 0.000 0.000
2 Ag 0.750 0.250 0.500
3 Sb 0.618 0.618 0.236
4 Sb 0.382 0.382 0.764
5 Ag 0.250 0.750 0.500



Rb3Mn2Br7: PBEsol geometry, SCAN.

- Mass density: 4.06 g/cm3
- DFT total energy: -254.2 eV per formula unit
- Formation energy without anion corrections: -1601 meV per atom
- SG: No. 139

Lattice parameters (Å, degrees): 5.279 5.279 14.093 100.79 100.79 90.00
Atoms (fractional coordinates):
1 Mn 0.599 0.599 0.199
2 Rb 0.820 0.820 0.640
3 Rb 0.000 0.000 0.000
4 Br 0.905 0.405 0.810
5 Br 0.695 0.695 0.389
6 Br 0.405 0.905 0.810
7 Mn 0.401 0.401 0.801
8 Br 0.305 0.305 0.611
9 Br 0.095 0.595 0.190
10 Br 0.595 0.095 0.190
11 Rb 0.180 0.180 0.360
12 Br 0.500 0.500 0.000